# Ti2ReW

Ti2ReW after structural relaxation (PBE, Alexandria via LeMat-Bulk).

Cell and atoms, written as CIF:
```
data_Ti2ReW
_symmetry_space_group_name_H-M 'P 1 m 1'
_symmetry_Int_Tables_number 6
_symmetry_space_group_name_Hall 'P -2y'
_cell_length_a 2.780
_cell_length_b 4.464
_cell_length_c 5.185
_cell_angle_alpha 90.00
_cell_angle_beta 101.71
_cell_angle_gamma 90.00
loop_
_atom_site_label
_atom_site_fract_x
_atom_site_fract_y
_atom_site_fract_z
Ti1 0.000 0.000 0.000
Ti2 0.278 0.500 0.753
Re1 0.518 0.000 0.500
W1 0.742 0.500 0.260
```

## Properties
- calculated formation energy (eV per atom) = -0.188



# PWSe2

PWSe2 after structural relaxation (PBE, Alexandria via LeMat-Bulk).

Cell and atoms, written as CIF:
```
data_PWSe2
_symmetry_space_group_name_H-M 'P m m m'
_symmetry_Int_Tables_number 47
_symmetry_space_group_name_Hall '-P 2 2'
_cell_length_a 3.076
_cell_length_b 4.589
_cell_length_c 4.695
_cell_angle_alpha 90.00
_cell_angle_beta 90.00
_cell_angle_gamma 90.00
loop_
_atom_site_label
_atom_site_fract_x
_atom_site_fract_y
_atom_site_fract_z
P1 0.000 0.000 0.000
W1 0.500 0.000 0.500
Se1 0.000 0.500 0.500
Se2 0.500 0.500 0.000
```

## Properties
- formation energy from raw total energies (eV/f.u.) = 3.275



# Rb3H5Se2

Rb3H5Se2 after structural relaxation (PBE, Alexandria via LeMat-Bulk).

Cell and atoms, written as CIF:
```
data_Rb3H5Se2
_symmetry_space_group_name_H-M 'I b a m'
_symmetry_Int_Tables_number 72
_symmetry_space_group_name_Hall '-I 2 2c'
_cell_length_a 7.122
_cell_length_b 16.349
_cell_length_c 9.137
_cell_angle_alpha 90.00
_cell_angle_beta 90.00
_cell_angle_gamma 90.00
loop_
_atom_site_label
_atom_site_fract_x
_atom_site_fract_y
_atom_site_fract_z
Rb1 0.000 0.000 0.250
Rb2 0.022 0.371 0.000
H1 0.000 0.163 0.250
H2 0.000 0.500 0.250
H3 0.134 0.102 0.000
Se1 0.013 0.166 0.500
```



| no. | energy (eV/atom) |
| --- | --- |
| 1 | -10.49 |
| 2 | -5.51 |
| 3 | -2.71 |